1.
DFT (PBE-GGA) results for a relaxed BaTlRh crystal.

It has space group P1 (No. 1), with a = 4.2894 Å, b = 5.1515 Å, c = 9.2730 Å, α = 89.70°, β = 89.87° and γ = 90.00°. The inequivalent atoms are Ba at (0.0000, 0.0000, 0.0000), Ba at (0.4962, 0.5030, 0.6449), Tl at (0.4994, 0.4996, 0.2259), Tl at (0.9979, 0.0045, 0.4437), Rh at (0.5011, 0.5017, 0.9387) and Rh at (0.9985, 0.5051, 0.4004).

For the density of states at the Fermi level, the calculation gives 0.510 states/eV per atom. Its final energy is -3.95 eV/atom. The calculation puts the volume at 204.90 Å³/cell. The crystal system is triclinic.

2.
DFT (PBE-GGA) results for a relaxed Pu4Mn2Fe crystal.

It has space group I-42d (No. 122), with a = 8.1558 Å, b = 8.1558 Å, c = 8.3287 Å, α = 90.00°, β = 90.00° and γ = 90.00°. The inequivalent atoms are Pu at (0.0678, 0.6829, 0.4478), Mn at (0.1166, 0.7500, 0.1250) and Fe at (0.0000, 0.0000, 0.5000).

For the density of states at the Fermi level, the calculation gives 2.694 states/eV per atom. Its final energy is -11.86 eV/atom. The calculation puts the volume at 554.00 Å³/cell. The crystal system is tetragonal.

3.
DFT (PBE-GGA) results for a relaxed ZnCd2As crystal.

It has space group C2/m (No. 12), with a = 9.4614 Å, b = 3.1224 Å, c = 5.6378 Å, α = 90.00°, β = 100.33° and γ = 90.00°. The inequivalent atoms are Zn at (0.0000, 0.0000, 0.0000), Cd at (0.2436, 0.5000, 0.2346) and As at (0.0000, 0.5000, 0.5000).

For the density of states at the Fermi level, the calculation gives 0.370 states/eV per atom. Its final energy is -1.80 eV/atom. The calculation puts the volume at 163.85 Å³/cell. The crystal system is monoclinic.

4.
DFT (PBE-GGA) results for a relaxed YH6Ru2 crystal.

It has space group C2/m (No. 12), with a = 9.0530 Å, b = 3.5780 Å, c = 6.3593 Å, α = 90.00°, β = 123.48° and γ = 90.00°. The inequivalent atoms are Y at (0.0000, 0.0000, 0.0000), H at (0.0325, 0.0000, 0.6931), H at (0.1640, 0.5000, 0.0871), H at (0.2198, 0.5000, 0.6057) and Ru at (0.1805, 0.0000, 0.6022).

For the density of states at the Fermi level, the calculation gives 0.349 states/eV per atom. Its final energy is -5.13 eV/atom. The calculation puts the volume at 171.81 Å³/cell. The crystal system is monoclinic.

5.
DFT (PBE-GGA) results for a relaxed EuGdIr2 crystal.

It has space group P4/mmm (No. 123), with a = 4.7841 Å, b = 4.7841 Å, c = 3.6666 Å, α = 90.00°, β = 90.00° and γ = 90.00°. The inequivalent atoms are Eu at (0.0000, 0.0000, 0.0000), Gd at (0.5000, 0.5000, 0.0000) and Ir at (0.0000, 0.5000, 0.5000).

For the density of states at the Fermi level, the calculation gives 2.103 states/eV per atom. Its final energy is -10.96 eV/atom. The calculation puts the volume at 83.92 Å³/cell. The crystal system is tetragonal.

6.
DFT (PBE-GGA) results for a relaxed CdIn2Re crystal.

It has space group Pmm2 (No. 25), with a = 3.0318 Å, b = 4.4439 Å, c = 5.9347 Å, α = 90.00°, β = 90.00° and γ = 90.00°. The inequivalent atoms are Cd at (0.0000, 0.0000, 0.0000), In at (0.0000, 0.0000, 0.5329), In at (0.5000, 0.5000, 0.2388) and Re at (0.5000, 0.5000, 0.7384).

For the density of states at the Fermi level, the calculation gives 0.602 states/eV per atom. Its final energy is -4.15 eV/atom. The calculation puts the volume at 79.96 Å³/cell. The crystal system is orthorhombic.

7.
DFT (PBE-GGA) results for a relaxed SbPbCl2 crystal.

It has space group P4/mmm (No. 123), with a = 3.4496 Å, b = 3.4496 Å, c = 11.7465 Å, α = 90.00°, β = 90.00° and γ = 90.00°. The inequivalent atoms are Sb at (0.0000, 0.0000, 0.0000), Pb at (0.0000, 0.0000, 0.5000) and Cl at (0.5000, 0.5000, 0.3526).

For the density of states at the Fermi level, the calculation gives 0.469 states/eV per atom. Its final energy is -3.28 eV/atom. The value obtained for the raw formation energy is -396 meV per atom. The calculation puts the volume at 139.78 Å³/cell. The crystal system is tetragonal.

8.
DFT (PBE-GGA) results for a relaxed TaAgSe crystal.

It has space group Fmm2 (No. 42), with a = 3.3773 Å, b = 4.9522 Å, c = 14.4143 Å, α = 90.00°, β = 90.00° and γ = 90.00°. The inequivalent atoms are Ta at (0.0000, 0.0000, 0.0000), Ag at (0.0000, 0.0000, 0.3395) and Se at (0.0000, 0.0000, 0.6353).

For the density of states at the Fermi level, the calculation gives 0.456 states/eV per atom. Its final energy is -5.93 eV/atom. The value obtained for the raw formation energy is 134 meV per atom. The calculation puts the volume at 241.08 Å³/cell. The crystal system is orthorhombic.

9.
DFT (PBE-GGA) results for a relaxed TaBrO3 crystal.

It has space group Pm-3m (No. 221), with a = 4.0184 Å, b = 4.0184 Å, c = 4.0184 Å, α = 90.00°, β = 90.00° and γ = 90.00°. The inequivalent atoms are Ta at (0.0000, 0.0000, 0.0000), Br at (0.5000, 0.5000, 0.5000) and O at (0.0000, 0.0000, 0.5000).

For the density of states at the Fermi level, the calculation gives 0.289 states/eV per atom. Its final energy is -7.13 eV/atom. The value obtained for the raw formation energy is -1448 meV per atom. The calculation puts the volume at 64.89 Å³/cell. The crystal system is cubic.

10.
DFT (PBE-GGA) results for a relaxed Hf4AlNi crystal.

It has space group I422 (No. 97), with a = 6.7849 Å, b = 6.7849 Å, c = 4.9822 Å, α = 90.00°, β = 90.00° and γ = 90.00°. The inequivalent atoms are Hf at (0.1546, 0.3454, 0.2500), Al at (0.0000, 0.0000, 0.0000) and Ni at (0.0000, 0.0000, 0.5000).

For the density of states at the Fermi level, the calculation gives 1.214 states/eV per atom. Its final energy is -8.48 eV/atom. The calculation puts the volume at 229.35 Å³/cell. The crystal system is tetragonal.

11.
DFT (PBE-GGA) results for a relaxed Si2TcHg crystal.

It has space group R-3m (No. 166, hexagonal axes), with a = 3.0841 Å, b = 3.0841 Å, c = 24.7406 Å, α = 90.00°, β = 90.00° and γ = 120.00°. The inequivalent atoms are Si at (0.0000, 0.0000, 0.2365), Tc at (0.0000, 0.0000, 0.5000) and Hg at (0.0000, 0.0000, 0.0000).

For the density of states at the Fermi level, the calculation gives 0.501 states/eV per atom. Its final energy is -5.29 eV/atom. The value obtained for the raw formation energy is 91 meV per atom. The calculation puts the volume at 203.79 Å³/cell. The crystal system is trigonal.

12.
DFT (PBE-GGA) results for a relaxed BiAsP2S crystal.

It has space group P4/mmm (No. 123), with a = 5.3108 Å, b = 5.3108 Å, c = 5.0884 Å, α = 90.00°, β = 90.00° and γ = 90.00°. The inequivalent atoms are Bi at (0.0000, 0.0000, 0.0000), As at (0.5000, 0.5000, 0.5000), P at (0.0000, 0.5000, 0.0000) and S at (0.0000, 0.0000, 0.5000).

For the density of states at the Fermi level, the calculation gives 0.924 states/eV per atom. Its final energy is -3.32 eV/atom. The value obtained for the raw formation energy is 1378 meV per atom. The calculation puts the volume at 143.51 Å³/cell. The crystal system is tetragonal.